(1)
# Rb2GaPt

An optimized crystal structure of Rb2GaPt (PBE, the Alexandria database).

Properties
- Energy of formation from the pure elements: -0.212 eV per atom
- DOS(E_F): 2.3 states/eV/f.u.
- E: -23.7 eV/cell

abc: 7.7010 4.2026 10.4221
angles: 90.00 96.04 90.00
Closest atoms and distances in Å follow each position.
Space group Cm (No. 8)
Symmetry-distinct sites (fractional):
Rb (0.0000, 0.0000, 0.0000) (multiplicity 2)  1 Pt 3.23
Rb (0.2251, 0.5000, 0.5490) (multiplicity 2)  3 Pt 3.47-3.57, 3 Ga 3.63-3.74
Ga (0.3503, 0.0000, 0.2905) (multiplicity 2)  3 Pt 2.51
Pt (0.0282, 0.0000, 0.3116) (multiplicity 2)  3 Ga 2.51

=====

(2)
# SmThPd4

An optimized crystal structure of SmThPd4 (PBE, the Alexandria database).

Properties
- ΔE to the lowest computed polymorph: 3.272 kcal/mol of atoms
- Energy of formation from the pure elements: -0.729 eV per atom
- DOS(E_F): 4.1 states/eV/f.u.
- E: -149.1 eV/cell

abc: 7.8007 7.8007 7.8007
angles: 90.00 90.00 90.00
Closest atoms and distances in Å follow each position.
Space group F-43m (No. 216)
Symmetry-distinct sites (fractional):
Sm (0.0000, 0.0000, 0.0000) (multiplicity 4)  12 Pd 3.23, 4 Th 3.38
Th (0.2500, 0.2500, 0.7500) (multiplicity 4)  12 Pd 3.23, 4 Sm 3.38
Pd (0.1251, 0.1251, 0.3749) (multiplicity 16)  6 Pd 2.76

=====

(3)
# CdInFe2

An optimized crystal structure of CdInFe2 (PBE, the Alexandria database).

Properties
- Energy of formation from the pure elements: 0.291 eV per atom
- DOS(E_F): 2.1 states/eV/f.u.
- E: -19.4 eV/cell

abc: 2.8934 4.4796 5.1225
angles: 90.00 90.06 90.00
Closest atoms and distances in Å follow each position.
Space group Pm (No. 6)
Symmetry-distinct sites (fractional):
Cd (0.0000, 0.0000, 0.0000) (multiplicity 1)  6 Fe 2.76-2.84, 2 In 2.87, 2 Cd 2.89
In (0.9983, 0.5000, 0.3519) (multiplicity 1)  6 Fe 2.76-2.84, 2 Cd 2.87, 2 In 2.89
Fe (0.4991, 0.5000, 0.8098) (multiplicity 1)  4 Fe 2.63-2.89, 2 In 2.76, 4 Cd 2.84
Fe (0.5002, 0.0000, 0.5418) (multiplicity 1)  4 Fe 2.63-2.89, 2 Cd 2.76, 4 In 2.84

=====

(4)
# AcPm6Dy

An optimized crystal structure of AcPm6Dy (PBE, the Alexandria database).

Properties
- ΔE to the lowest computed polymorph: 3.517 kcal/mol of atoms
- Energy of formation from the pure elements: 0.182 eV per atom
- DOS(E_F): 12.5 states/eV/f.u.
- E: -35.8 eV/cell

abc: 6.8270 6.8657 6.9750
angles: 60.53 83.33 85.61
Closest atoms and distances in Å follow each position.
Space group P-1 (No. 2)
Symmetry-distinct sites (fractional):
Ac (0.0000, 0.0000, 0.0000) (multiplicity 1)  2 Dy 3.41, 2 Pm 3.73
Pm (0.2544, 0.9402, 0.4882) (multiplicity 2)  6 Pm 3.31-3.67, 1 Dy 3.46
Pm (0.2568, 0.4761, 0.9712) (multiplicity 2)  6 Pm 3.31-3.67, 1 Dy 3.48
Pm (0.2755, 0.4425, 0.4631) (multiplicity 2)  5 Pm 3.34-3.65
Dy (0.5000, 0.0000, 0.0000) (multiplicity 1)  2 Ac 3.41, 4 Pm 3.46-3.48

=====

(5)
# Sr2TlBiPd

An optimized crystal structure of Sr2TlBiPd (PBE, the Alexandria database).

Properties
- Energy of formation from the pure elements: -0.531 eV per atom
- DOS(E_F): 0.8 states/eV/f.u.
- E: -17.5 eV/cell

abc: 5.7839 5.7839 5.2214
angles: 90.00 90.00 90.00
Closest atoms and distances in Å follow each position.
Space group P4/mmm (No. 123)
Symmetry-distinct sites (fractional):
Sr (0.0000, 0.5000, 0.0000) (multiplicity 2)  2 Pd 2.89
Tl (0.0000, 0.0000, 0.5000) (multiplicity 1)  2 Pd 2.61
Bi (0.5000, 0.5000, 0.5000) (multiplicity 1)  8 Sr 3.90, 4 Tl 4.09
Pd (0.0000, 0.0000, 0.0000) (multiplicity 1)  2 Tl 2.61, 4 Sr 2.89

=====

(6)
# ZnHg2Br

An optimized crystal structure of ZnHg2Br (PBE, the Alexandria database).

Properties
- ΔE to the lowest computed polymorph: 1.422 kcal/mol of atoms
- E_form (uncorrected): -0.123 eV per atom
- DOS(E_F): 0.7 states/eV/f.u.
- E: -8.1 eV/cell

abc: 3.8130 6.4763 9.1929
angles: 90.00 90.00 90.00
Closest atoms and distances in Å follow each position.
Space group Cmm2 (No. 35)
Symmetry-distinct sites (fractional):
Zn (0.0000, 0.0000, 0.0000) (multiplicity 2)  2 Br 2.56, 2 Hg 2.74
Hg (0.0000, 0.0000, 0.4812) (multiplicity 2)  2 Hg 3.11
Hg (0.0000, 0.5000, 0.2133) (multiplicity 2)  2 Zn 2.74
Br (0.0000, 0.5000, 0.8148) (multiplicity 2)  2 Zn 2.56

=====

(7)
# ScCuP3

An optimized crystal structure of ScCuP3 (PBE, the Alexandria database).

Properties
- ΔE to the lowest computed polymorph: 11.279 kcal/mol of atoms
- Energy of formation from the pure elements: 0.756 eV per atom
- DOS(E_F): 4.2 states/eV/f.u.
- E: -22.9 eV/cell

abc: 4.8812 4.8812 4.8812
angles: 90.00 90.00 90.00
Closest atoms and distances in Å follow each position.
Space group Pm-3m (No. 221)
Symmetry-distinct sites (fractional):
Sc (0.0000, 0.0000, 0.0000) (multiplicity 1)  6 P 2.44
Cu (0.5000, 0.5000, 0.5000) (multiplicity 1)  12 P 3.45
P (0.0000, 0.0000, 0.5000) (multiplicity 3)  2 Sc 2.44

=====

(8)
# Dy4AlTlCd2

An optimized crystal structure of Dy4AlTlCd2 (PBE, the Alexandria database).

Properties
- Energy of formation from the pure elements: -0.349 eV per atom
- DOS(E_F): 7.0 states/eV/f.u.
- E: -87.4 eV/cell

abc: 5.2545 5.2545 25.8307
angles: 90.00 90.00 120.00
Closest atoms and distances in Å follow each position.
Space group R-3m (No. 166, hexagonal axes)
Symmetry-distinct sites (fractional):
Dy (0.0000, 0.0000, 0.1221) (multiplicity 6)  1 Al 3.15, 4 Cd 3.20-3.33, 3 Tl 3.24
Dy (0.0000, 0.0000, 0.3723) (multiplicity 6)  4 Cd 3.14-3.23, 3 Al 3.20, 1 Tl 3.30
Al (0.0000, 0.0000, 0.0000) (multiplicity 3)  8 Dy 3.15-3.20
Tl (0.0000, 0.0000, 0.5000) (multiplicity 3)  8 Dy 3.24-3.30
Cd (0.0000, 0.0000, 0.2509) (multiplicity 6)  8 Dy 3.14-3.33

=====

DOS(E_F) of number 2 (SmThPd4)?
4.1 states/eV/f.u.

=====

Which of these has the highest DOS(E_F)?
AcPm6Dy

=====

Number 6 is which compound?
ZnHg2Br

=====

What did the first record say?
# Rb2GaPt

An optimized crystal structure of Rb2GaPt (PBE, the Alexandria database).

Properties
- Energy of formation from the pure elements: -0.212 eV per atom
- DOS(E_F): 2.3 states/eV/f.u.
- E: -23.7 eV/cell

abc: 7.7010 4.2026 10.4221
angles: 90.00 96.04 90.00
Closest atoms and distances in Å follow each position.
Space group Cm (No. 8)
Symmetry-distinct sites (fractional):
Rb (0.0000, 0.0000, 0.0000) (multiplicity 2)  1 Pt 3.23
Rb (0.2251, 0.5000, 0.5490) (multiplicity 2)  3 Pt 3.47-3.57, 3 Ga 3.63-3.74
Ga (0.3503, 0.0000, 0.2905) (multiplicity 2)  3 Pt 2.51
Pt (0.0282, 0.0000, 0.3116) (multiplicity 2)  3 Ga 2.51